Density functional theory data (GGA-PBE) for an optimized crystal structure of Bi2O3.

Cell and atoms, written as POSCAR:
```
Bi2O3
1.0
-6.347 4.660 -0.326
-0.346 -6.866 3.853
1.798 2.811 5.171
Bi O
8 12
direct
0.801 0.143 0.749
0.857 0.659 0.749
0.341 0.199 0.749
0.143 0.801 0.249
0.659 0.857 0.249
0.199 0.341 0.249
0.333 0.667 0.747
0.667 0.333 0.247
0.586 0.078 0.449
0.922 0.508 0.449
0.492 0.414 0.449
0.078 0.586 0.949
0.508 0.922 0.949
0.414 0.492 0.949
0.137 0.884 0.628
0.116 0.253 0.628
0.747 0.863 0.628
0.884 0.137 0.128
0.253 0.116 0.128
0.863 0.747 0.128
```

Results
Space group: No. 159
Formation energy (no corrections): -1.18 eV/atom